A plane-wave DFT calculation with PBE was carried out for a geometry-optimized TbPr12Y6 structure.

Summary:
space-group type = No. 166
ΔE to the lowest computed polymorph = 5.08 eV/f.u.
total magnetic moment = 0.0 μB/f.u.
E_form = 0.39 eV/atom

Lattice parameters (Å, degrees): 9.9170 9.9170 9.9170 110.99 110.99 110.99
Sites, in units of the cell vectors:
Tb  0.0000  0.0000  0.0000
Pr  0.8909  0.1091  0.5000
Pr  0.2612  0.0057  0.2612
Pr  0.2612  0.2612  0.0057
Pr  0.9943  0.7388  0.7388
Pr  0.7388  0.7388  0.9943
Pr  0.7388  0.9943  0.7388
Pr  0.5000  0.8909  0.1091
Pr  0.1091  0.5000  0.8909
Pr  0.1091  0.8909  0.5000
Pr  0.5000  0.1091  0.8909
Pr  0.8909  0.5000  0.1091
Pr  0.0057  0.2612  0.2612
Y  0.6466  0.2666  0.6466
Y  0.6466  0.6466  0.2666
Y  0.2666  0.6466  0.6466
Y  0.3534  0.3534  0.7334
Y  0.3534  0.7334  0.3534
Y  0.7334  0.3534  0.3534


A plane-wave DFT calculation with PBE was carried out for a geometry-optimized TbPrY4 structure.

Summary:
space-group type = No. 65
ΔE to the lowest computed polymorph = 0.28 eV/f.u.
total magnetic moment = 0.0 μB/f.u.
E_form = 0.07 eV/atom

Lattice parameters (Å, degrees): 9.8981 5.7048 8.9904 129.37 90.00 90.00
Sites, in units of the cell vectors:
Tb  0.0000  0.5000  0.5000
Tb  0.5000  0.0000  0.5000
Pr  0.5000  0.5000  0.0000
Pr  0.0000  0.0000  0.0000
Y  0.1664  0.7529  0.2532
Y  0.3336  0.2529  0.2532
Y  0.8335  0.7529  0.2536
Y  0.3335  0.7471  0.7464
Y  0.6665  0.2529  0.2536
Y  0.1665  0.2471  0.7464
Y  0.6664  0.7471  0.7468
Y  0.8336  0.2471  0.7468


A plane-wave DFT calculation with PBE was carried out for a geometry-optimized Tb2Pr2Y7 structure.

Summary:
space-group type = No. 12
ΔE to the lowest computed polymorph = 1.69 eV/f.u.
total magnetic moment = 0.0 μB/f.u.
E_form = 0.18 eV/atom

Lattice parameters (Å, degrees): 8.5361 6.6650 6.6650 88.80 81.49 81.49
Sites, in units of the cell vectors:
Tb  0.5000  0.1813  0.8187
Tb  0.5000  0.8187  0.1813
Pr  0.8628  0.3912  0.3912
Pr  0.1372  0.6088  0.6088
Y  0.1925  0.0992  0.5018
Y  0.8075  0.4982  0.9008
Y  0.8075  0.9008  0.4982
Y  0.1925  0.5018  0.0992
Y  0.0000  0.0000  0.0000
Y  0.4783  0.6895  0.6895
Y  0.5217  0.3105  0.3105


A plane-wave DFT calculation with PBE was carried out for a geometry-optimized Tb6PrY4 structure.

Summary:
space-group type = No. 121
ΔE to the lowest computed polymorph = 0.00 eV/f.u.
total magnetic moment = 0.0 μB/f.u.
E_form = 0.31 eV/atom

Lattice parameters (Å, degrees): 9.8118 9.8118 9.8118 56.51 140.89 140.89
Sites, in units of the cell vectors:
Tb  0.0000  0.8094  0.4521
Tb  0.0000  0.4521  0.8094
Tb  0.3574  0.5479  0.5479
Tb  0.5000  0.5000  0.0000
Tb  0.6426  0.1906  0.1906
Tb  0.5000  0.0000  0.5000
Pr  0.0000  0.0000  0.0000
Y  0.0000  0.6374  0.0115
Y  0.3741  0.3626  0.3626
Y  0.0000  0.0115  0.6374
Y  0.6259  0.9885  0.9885